Entry 1:
Density functional theory data (PBE-GGA) for Ba2Bi2O5 after structural relaxation.

The structure in CIF format:
```
data_Ba2Bi2O5
_chemical_formula_sum 'Ba4 Bi4 O10'
_cell_length_a 13.891
_cell_length_b 4.274
_cell_length_c 7.263
_cell_angle_alpha 90.00
_cell_angle_beta 119.65
_cell_angle_gamma 90.00
_symmetry_space_group_name_H-M 'C 1 2/m 1'
_symmetry_Int_Tables_number 12
_symmetry_space_group_name_Hall '-C 2y'
loop_
_atom_site_label
_atom_site_type_symbol
_atom_site_fract_x
_atom_site_fract_y
_atom_site_fract_z
Ba1 Ba 0.121 0.000 0.277
Bi1 Bi 0.134 0.500 0.820
O1 O 0.000 0.500 0.000
O2 O 0.160 0.500 0.548
O3 O 0.181 0.000 0.961
```

Results
- Raw formation energy: -174 kJ per mole of atoms

---

Entry 2:
Density functional theory data (PBE-GGA) for BaBiO2 after structural relaxation.

The structure in CIF format:
```
data_BaBiO2
_chemical_formula_sum 'Ba4 Bi4 O8'
_cell_length_a 5.606
_cell_length_b 5.606
_cell_length_c 12.411
_cell_angle_alpha 90.00
_cell_angle_beta 90.00
_cell_angle_gamma 90.00
_symmetry_space_group_name_H-M 'I -4 2 d'
_symmetry_Int_Tables_number 122
_symmetry_space_group_name_Hall 'I -4 2bw'
loop_
_atom_site_label
_atom_site_type_symbol
_atom_site_fract_x
_atom_site_fract_y
_atom_site_fract_z
Ba1 Ba 0.000 0.000 0.000
Bi1 Bi 0.000 0.000 0.500
O1 O 0.213 0.250 0.625
```

Results
- Raw formation energy: -141 kJ per mole of atoms

---

Repeat the first record exactly.
Density functional theory data (PBE-GGA) for Ba2Bi2O5 after structural relaxation.

The structure in CIF format:
```
data_Ba2Bi2O5
_chemical_formula_sum 'Ba4 Bi4 O10'
_cell_length_a 13.891
_cell_length_b 4.274
_cell_length_c 7.263
_cell_angle_alpha 90.00
_cell_angle_beta 119.65
_cell_angle_gamma 90.00
_symmetry_space_group_name_H-M 'C 1 2/m 1'
_symmetry_Int_Tables_number 12
_symmetry_space_group_name_Hall '-C 2y'
loop_
_atom_site_label
_atom_site_type_symbol
_atom_site_fract_x
_atom_site_fract_y
_atom_site_fract_z
Ba1 Ba 0.121 0.000 0.277
Bi1 Bi 0.134 0.500 0.820
O1 O 0.000 0.500 0.000
O2 O 0.160 0.500 0.548
O3 O 0.181 0.000 0.961
```

Results
- Raw formation energy: -174 kJ per mole of atoms

---

What did the second record say?
Density functional theory data (PBE-GGA) for BaBiO2 after structural relaxation.

The structure in CIF format:
```
data_BaBiO2
_chemical_formula_sum 'Ba4 Bi4 O8'
_cell_length_a 5.606
_cell_length_b 5.606
_cell_length_c 12.411
_cell_angle_alpha 90.00
_cell_angle_beta 90.00
_cell_angle_gamma 90.00
_symmetry_space_group_name_H-M 'I -4 2 d'
_symmetry_Int_Tables_number 122
_symmetry_space_group_name_Hall 'I -4 2bw'
loop_
_atom_site_label
_atom_site_type_symbol
_atom_site_fract_x
_atom_site_fract_y
_atom_site_fract_z
Ba1 Ba 0.000 0.000 0.000
Bi1 Bi 0.000 0.000 0.500
O1 O 0.213 0.250 0.625
```

Results
- Raw formation energy: -141 kJ per mole of atoms

---

> Number 1 is which compound?

Ba2Bi2O5

---

> Among the records above, which one has the highest raw formation energy?

BaBiO2